# 1
A geometry-optimized Pr3Nd3Y structure. Source: the Alexandria database, functional GGA-PBE.

Summary:
DOS at the Fermi energy	23.9	states/eV per cell
magnetization	0.00	μB per formula unit
polymorph energy (0 for the lowest one)	0.0	meV per atom
ΔH_f (0 K)	2.5	kJ/mol of atoms

a = 9.8577 Å, b = 9.8577 Å, c = 5.9348 Å
α = 90.00°, β = 90.00°, γ = 120.00°
Closest atoms and distances in Å follow each position.
Space group P6_3/m (No. 176)
Asymmetric unit:
Pr: 0.0458 0.8055 0.2500  5 Nd 3.66-3.76, 6 Pr 3.68-3.77, 1 Y 3.71
Nd: 0.0952 0.6177 0.7500  4 Nd 3.65-3.72, 5 Pr 3.66-3.76, 3 Y 3.66-3.72
Y: 0.3333 0.6667 0.2500  9 Nd 3.66-3.72, 3 Pr 3.71

=====

# 2
A geometry-optimized CaTm2ScBi4 structure. Source: the Alexandria database, functional GGA-PBE.

Summary:
DOS at the Fermi energy	12.7	states/eV per cell
magnetization	0.00	μB per formula unit
ΔH_f (0 K)	-68.1	kJ/mol of atoms

a = 8.8692 Å, b = 12.5356 Å, c = 8.8673 Å
α = 90.00°, β = 90.00°, γ = 90.00°
Closest atoms and distances in Å follow each position.
Space group Fmm2 (No. 42)
Asymmetric unit:
Ca: 0.0000 0.0000 0.0000  6 Bi 3.13-3.25
Tm: 0.2500 0.2500 0.2516  6 Bi 3.13-3.14
Sc: 0.0000 0.0000 0.5002  6 Bi 3.01-3.14
Bi: 0.0000 0.2404 0.5015  1 Sc 3.01, 4 Tm 3.14, 1 Ca 3.25
Bi: 0.2497 0.0000 0.2501  2 Tm 3.13, 2 Sc 3.13-3.14, 2 Ca 3.13-3.14

=====

# 3
A geometry-optimized ZrCrAgS4 structure. Source: the Alexandria database, functional GGA-PBE.

Summary:
E_form (uncorrected)	-895.6	meV/atom
DOS at the Fermi energy	0.0	states/eV per cell
magnetization	3.00	μB per formula unit
polymorph energy (0 for the lowest one)	18.7	meV per atom

a = 6.1398 Å, b = 3.6133 Å, c = 6.5535 Å
α = 90.00°, β = 91.67°, γ = 90.00°
Closest atoms and distances in Å follow each position.
Space group P2/m (No. 10)
Asymmetric unit:
Zr: 0.0000 0.0000 0.0000  6 S 2.56
Cr: 0.5000 0.5000 0.0000  6 S 2.46
Ag: 0.5000 0.5000 0.5000  6 S 2.62-2.80
S: 0.1838 0.5000 0.2222  1 Cr 2.46, 2 Zr 2.56, 1 Ag 2.62
S: 0.3440 0.0000 0.7876  2 Cr 2.46, 1 Zr 2.56

=====

# 4
A geometry-optimized MnCo4Ru structure. Source: the Alexandria database, functional GGA-PBE.

Summary:
DOS at the Fermi energy	23.6	states/eV per cell
magnetization	11.95	μB per formula unit
ΔH_f (0 K)	12.9	kJ/mol of atoms

a = 6.6488 Å, b = 6.6488 Å, c = 6.6488 Å
α = 90.00°, β = 90.00°, γ = 90.00°
Closest atoms and distances in Å follow each position.
Space group F-43m (No. 216)
Asymmetric unit:
Mn: 0.0000 0.0000 0.0000  12 Co 2.76, 4 Ru 2.88
Co: 0.1257 0.1257 0.3743  6 Co 2.34-2.36
Ru: 0.2500 0.2500 0.7500  12 Co 2.76, 4 Mn 2.88

=====

# 5
A geometry-optimized Ca2ScMn structure. Source: the Alexandria database, functional GGA-PBE.

Summary:
DOS at the Fermi energy	10.6	states/eV per cell
magnetization	2.90	μB per formula unit
polymorph energy (0 for the lowest one)	123.0	meV per atom
ΔH_f (0 K)	30.7	kJ/mol of atoms

a = 12.5013 Å, b = 3.5906 Å, c = 5.6782 Å
α = 90.00°, β = 116.54°, γ = 90.00°
Closest atoms and distances in Å follow each position.
Space group Cm (No. 8)
Asymmetric unit:
Ca: 0.0000 0.0000 0.0000  4 Mn 3.36-3.37, 6 Ca 3.59-3.74, 4 Sc 3.63-3.74
Ca: 0.2071 0.0000 0.7027  2 Mn 3.13, 4 Sc 3.49-3.50
Sc: 0.2935 0.5000 0.2890  2 Mn 2.74
Mn: 0.4781 0.0000 0.4794  2 Sc 2.74

=====

# 6
A geometry-optimized ZrOsPb2Se structure. Source: the Alexandria database, functional GGA-PBE.

Summary:
E_form (uncorrected)	1269.2	meV/atom
DOS at the Fermi energy	5.4	states/eV per cell
magnetization	3.45	μB per formula unit

a = 5.7367 Å, b = 5.7367 Å, c = 4.9850 Å
α = 90.00°, β = 90.00°, γ = 90.00°
Closest atoms and distances in Å follow each position.
Space group P4/mmm (No. 123)
Asymmetric unit:
Zr: 0.0000 0.0000 0.0000  2 Se 2.49
Os: 0.5000 0.5000 0.5000  8 Pb 3.80, 4 Se 4.06
Pb: 0.0000 0.5000 0.0000  2 Zr 2.87
Se: 0.0000 0.0000 0.5000  2 Zr 2.49

=====

# 7
A geometry-optimized CsNbTe2O8 structure. Source: the Alexandria database, functional GGA-PBE.

Summary:
E_form (uncorrected)	-1366.8	meV/atom
DOS at the Fermi energy	7.4	states/eV per cell
magnetization	0.00	μB per formula unit

a = 10.1815 Å, b = 5.8066 Å, c = 9.2157 Å
α = 90.00°, β = 109.54°, γ = 90.00°
Closest atoms and distances in Å follow each position.
Space group C2/m (No. 12)
Asymmetric unit:
Cs: 0.0000 0.0000 0.0000  10 O 3.45-3.73
Nb: 0.0000 0.5000 0.5000  6 O 1.96-2.04
Te: 0.1994 0.0000 0.6746  3 O 1.83-1.95
O: 0.0701 0.2515 0.6650  1 Te 1.95, 1 Nb 2.04
O: 0.1815 0.5000 0.4700  1 Nb 1.96, 1 Te 2.08
O: 0.1867 0.5000 0.1246  1 Te 1.83

=====

# 8
A geometry-optimized Gd2CuSb structure. Source: the Alexandria database, functional GGA-PBE.

Summary:
E_form (uncorrected)	-535.3	meV/atom
DOS at the Fermi energy	15.6	states/eV per cell
magnetization	15.04	μB per formula unit
polymorph energy (0 for the lowest one)	40.5	meV per atom

a = 7.3387 Å, b = 7.3387 Å, c = 7.3387 Å
α = 90.00°, β = 90.00°, γ = 90.00°
Closest atoms and distances in Å follow each position.
Space group Fm-3m (No. 225)
Asymmetric unit:
Gd: 0.2500 0.2500 0.2500  4 Sb 3.18, 4 Cu 3.18
Cu: 0.0000 0.0000 0.0000  8 Gd 3.18
Sb: 0.0000 0.0000 0.5000  8 Gd 3.18

=====

# 9
A geometry-optimized CsCoNi2 structure. Source: the Alexandria database, functional GGA-PBE.

Summary:
DOS at the Fermi energy	22.7	states/eV per cell
magnetization	3.20	μB per formula unit
polymorph energy (0 for the lowest one)	0.0	meV per atom
ΔH_f (0 K)	84.9	kJ/mol of atoms

a = 5.1111 Å, b = 5.1111 Å, c = 15.1551 Å
α = 90.00°, β = 90.00°, γ = 90.00°
Closest atoms and distances in Å follow each position.
Space group I4_1/amd (No. 141, origin choice 2)
Asymmetric unit:
Cs: 0.0000 0.2500 0.3750  8 Ni 3.43, 4 Co 3.61
Co: 0.0000 0.2500 0.8750  4 Ni 2.29
Ni: 0.0000 0.0000 0.0000  2 Co 2.29, 2 Ni 2.56

=====

# 10
A geometry-optimized LaMg2Ti structure. Source: the Alexandria database, functional GGA-PBE.

Summary:
DOS at the Fermi energy	16.8	states/eV per cell
magnetization	0.71	μB per formula unit
polymorph energy (0 for the lowest one)	0.0	meV per atom
ΔH_f (0 K)	17.4	kJ/mol of atoms

a = 7.3287 Å, b = 7.3287 Å, c = 7.3287 Å
α = 90.00°, β = 90.00°, γ = 90.00°
Closest atoms and distances in Å follow each position.
Space group Fm-3m (No. 225)
Asymmetric unit:
La: 0.0000 0.0000 0.0000  8 Mg 3.17
Mg: 0.2500 0.2500 0.2500  4 Ti 3.17, 4 La 3.17
Ti: 0.0000 0.0000 0.5000  8 Mg 3.17

=====

# 11
A geometry-optimized Cs4Ce3DyS8 structure. Source: the Alexandria database, functional GGA-PBE.

Summary:
E_form (uncorrected)	-1766.9	meV/atom
DOS at the Fermi energy	53.6	states/eV per cell
magnetization	3.00	μB per formula unit

a = 8.4624 Å, b = 8.4624 Å, c = 24.1850 Å
α = 90.00°, β = 90.00°, γ = 120.00°
Closest atoms and distances in Å follow each position.
Space group R-3m (No. 166, hexagonal axes)
Asymmetric unit:
Cs: 0.0000 0.0000 0.0000  6 S 3.57
Cs: 0.0000 0.5000 0.0000  6 S 3.51-3.52
Ce: 0.0000 0.5000 0.5000  6 S 2.86-2.88
Dy: 0.0000 0.0000 0.5000  6 S 2.81
S: 0.0000 0.0000 0.2285  3 Ce 2.86
S: 0.0076 0.5038 0.2278  1 Dy 2.81, 2 Ce 2.88

=====

# 12
A geometry-optimized ZnPbOF2 structure. Source: the Alexandria database, functional GGA-PBE.

Summary:
E_form (uncorrected)	-1056.4	meV/atom
DOS at the Fermi energy	1.7	states/eV per cell
magnetization	0.71	μB per formula unit

a = 4.5907 Å, b = 4.5907 Å, c = 4.2619 Å
α = 90.00°, β = 90.00°, γ = 90.00°
Closest atoms and distances in Å follow each position.
Space group P4/mmm (No. 123)
Asymmetric unit:
Zn: 0.0000 0.0000 0.0000  8 F 3.13, 4 O 3.25
Pb: 0.5000 0.5000 0.5000  2 O 2.13, 4 F 2.30
O: 0.5000 0.5000 0.0000  2 Pb 2.13
F: 0.0000 0.5000 0.5000  2 Pb 2.30

=====

# 13
A geometry-optimized PbCl3F structure. Source: the Alexandria database, functional GGA-PBE.

Summary:
E_form (uncorrected)	-398.2	meV/atom
DOS at the Fermi energy	49.7	states/eV per cell
magnetization	0.77	μB per formula unit
polymorph energy (0 for the lowest one)	0.0	meV per atom

a = 5.2991 Å, b = 5.2991 Å, c = 5.2991 Å
α = 90.00°, β = 90.00°, γ = 90.00°
Closest atoms and distances in Å follow each position.
Space group Pm-3m (No. 221)
Asymmetric unit:
Pb: 0.0000 0.0000 0.0000  6 Cl 2.65
Cl: 0.0000 0.0000 0.5000  2 Pb 2.65
F: 0.5000 0.5000 0.5000  12 Cl 3.75

=====

# 14
A geometry-optimized SiSbO2 structure. Source: the Alexandria database, functional GGA-PBE.

Summary:
E_form (uncorrected)	-788.5	meV/atom
DOS at the Fermi energy	3.6	states/eV per cell
magnetization	0.00	μB per formula unit
polymorph energy (0 for the lowest one)	696.0	meV per atom

a = 3.0433 Å, b = 3.0433 Å, c = 20.6622 Å
α = 90.00°, β = 90.00°, γ = 120.00°
Closest atoms and distances in Å follow each position.
Space group R-3m (No. 166, hexagonal axes)
Asymmetric unit:
Si: 0.0000 0.0000 0.0000  2 O 1.65
Sb: 0.0000 0.0000 0.5000  6 O 2.51
O: 0.0000 0.0000 0.0801  1 Si 1.65

=====

# 15
A geometry-optimized Ce2InCl structure. Source: the Alexandria database, functional GGA-PBE.

Summary:
E_form (uncorrected)	-766.0	meV/atom
DOS at the Fermi energy	12.1	states/eV per cell
magnetization	2.40	μB per formula unit

a = 3.4527 Å, b = 3.4527 Å, c = 8.4507 Å
α = 90.00°, β = 90.00°, γ = 90.00°
Closest atoms and distances in Å follow each position.
Space group P4/mmm (No. 123)
Asymmetric unit:
Ce: 0.0000 0.0000 0.2355  4 Cl 3.15, 4 In 3.31, 4 Ce 3.45
In: 0.5000 0.5000 0.5000  8 Ce 3.31, 4 In 3.45
Cl: 0.5000 0.5000 0.0000  8 Ce 3.15, 4 Cl 3.45

=====

# 16
A geometry-optimized CdNCl structure. Source: the Alexandria database, functional GGA-PBE.

Summary:
E_form (uncorrected)	-247.8	meV/atom
DOS at the Fermi energy	1.1	states/eV per cell
magnetization	0.00	μB per formula unit

a = 3.7103 Å, b = 3.7137 Å, c = 11.0082 Å
α = 99.50°, β = 90.13°, γ = 119.89°
Closest atoms and distances in Å follow each position.
Space group P-1 (No. 2)
Asymmetric unit:
Cd: 0.1116 0.2156 0.3156  3 N 2.54-2.57, 3 Cl 2.64-2.65
N: 0.4811 0.9627 0.4435  1 N 1.22
Cl: 0.2684 0.5437 0.8276  3 Cd 2.64-2.65

=====

# 17
A geometry-optimized MnAsBr2 structure. Source: the Alexandria database, functional GGA-PBE.

Summary:
E_form (uncorrected)	202.2	meV/atom
DOS at the Fermi energy	4.2	states/eV per cell
magnetization	4.82	μB per formula unit
polymorph energy (0 for the lowest one)	430.5	meV per atom

a = 6.5154 Å, b = 8.3498 Å, c = 4.9120 Å
α = 90.00°, β = 131.41°, γ = 90.00°
Closest atoms and distances in Å follow each position.
Space group C2/m (No. 12)
Asymmetric unit:
Mn: 0.0000 0.0000 0.0000  4 Br 2.78
As: 0.0000 0.5000 0.0000  4 Br 2.78
Br: 0.2500 0.2500 0.5000  2 As 2.78, 2 Mn 2.78

=====

# 18
A geometry-optimized Sr3PdN structure. Source: the Alexandria database, functional GGA-PBE.

Summary:
E_form (uncorrected)	-472.2	meV/atom
DOS at the Fermi energy	2.5	states/eV per cell
magnetization	0.00	μB per formula unit
polymorph energy (0 for the lowest one)	8.9	meV per atom

a = 5.1716 Å, b = 5.1716 Å, c = 5.1716 Å
α = 90.00°, β = 90.00°, γ = 90.00°
Closest atoms and distances in Å follow each position.
Space group Pm-3m (No. 221)
Asymmetric unit:
Sr: 0.0000 0.0000 0.5000  2 N 2.59
Pd: 0.5000 0.5000 0.5000  12 Sr 3.66
N: 0.0000 0.0000 0.0000  6 Sr 2.59

=====

# 19
A geometry-optimized SmPuSbSe structure. Source: the Alexandria database, functional GGA-PBE.

Summary:
E_form (uncorrected)	-1300.5	meV/atom
DOS at the Fermi energy	32.9	states/eV per cell
magnetization	5.62	μB per formula unit

a = 4.3251 Å, b = 4.3251 Å, c = 21.0080 Å
α = 90.00°, β = 90.00°, γ = 120.00°
Closest atoms and distances in Å follow each position.
Space group R3m (No. 160, hexagonal axes)
Asymmetric unit:
Sm: 0.0000 0.0000 0.0000  3 Se 3.02, 3 Sb 3.11
Pu: 0.0000 0.0000 0.5092  3 Se 2.98, 3 Sb 3.10
Sb: 0.0000 0.0000 0.7552  3 Pu 3.10, 3 Sm 3.11
Se: 0.0000 0.0000 0.2529  3 Pu 2.98, 3 Sm 3.02

=====

# 20
A geometry-optimized LiLa2AgHg6 structure. Source: the Alexandria database, functional GGA-PBE.

Summary:
DOS at the Fermi energy	4.9	states/eV per cell
magnetization	0.00	μB per formula unit
ΔH_f (0 K)	-29.6	kJ/mol of atoms

a = 5.3014 Å, b = 5.5950 Å, c = 9.3924 Å
α = 104.66°, β = 98.29°, γ = 103.54°
Closest atoms and distances in Å follow each position.
Space group P-1 (No. 2)
Asymmetric unit:
Li: 0.0000 0.0000 0.0000  4 Hg 2.76-2.91
La: 0.1278 0.3296 0.6918  8 Hg 3.21-3.49, 2 Ag 3.38-3.40
Ag: 0.5000 0.0000 0.5000  4 Hg 2.89-3.24
Hg: 0.2370 0.3013 0.3550  1 Ag 2.89, 2 Hg 3.05-3.13, 1 La 3.21
Hg: 0.2708 0.5169 0.0798  1 Li 2.76, 3 Hg 2.96-3.05
Hg: 0.4010 0.9403 0.8229  1 Li 2.91, 3 Hg 2.96-3.19, 1 La 3.21, 1 Ag 3.24